1.
KBeNF2: relaxed, PBE.

Structure (CIF):
```
data_KBeNF2
_cell_length_a 4.080
_cell_length_b 4.080
_cell_length_c 3.497
_cell_angle_alpha 90.00
_cell_angle_beta 90.00
_cell_angle_gamma 90.00
_symmetry_space_group_name_H-M 'P 4/m m m'
_symmetry_Int_Tables_number 123
_symmetry_space_group_name_Hall '-P 4 2'
loop_
_atom_site_label
_atom_site_type_symbol
_atom_site_fract_x
_atom_site_fract_y
_atom_site_fract_z
K1 K 0.000 0.000 0.000
Be1 Be 0.500 0.500 0.500
N1 N 0.500 0.500 0.000
F1 F 0.000 0.500 0.500
```

Values from the calculation:
The value obtained for the final energy is -4.736 eV per atom. Its energy relative to the lowest polymorph listed for this composition is 0.000 eV/f.u. For the raw formation energy, the calculation gives -1.36 eV/atom.

2.
KBeN2F: relaxed, PBE.

Structure (CIF):
```
data_KBeN2F
_cell_length_a 5.531
_cell_length_b 5.531
_cell_length_c 4.765
_cell_angle_alpha 90.00
_cell_angle_beta 90.00
_cell_angle_gamma 90.00
_symmetry_space_group_name_H-M 'P 4/m m m'
_symmetry_Int_Tables_number 123
_symmetry_space_group_name_Hall '-P 4 2'
loop_
_atom_site_label
_atom_site_type_symbol
_atom_site_fract_x
_atom_site_fract_y
_atom_site_fract_z
K1 K 0.000 0.000 0.000
Be1 Be 0.500 0.500 0.500
N1 N 0.000 0.500 0.000
F1 F 0.000 0.000 0.500
```

Values from the calculation:
The value obtained for the final energy is -2.811 eV per atom. Its energy relative to the lowest polymorph listed for this composition is 9.273 eV/f.u. For the raw formation energy, the calculation gives 1.86 eV/atom.